1.
! PBE Pm3Y2Cd2, relaxed; values from VASP
&SYSTEM
  ibrav = 0, nat = 7, ntyp = 3
/
ATOMIC_SPECIES
Pm 145.00 Pm.upf
Y 88.91 Y.upf
Cd 112.41 Cd.upf
ATOMIC_POSITIONS crystal
Pm 0.855 0.000 0.290
Pm 0.000 0.000 0.000
Pm 0.145 0.000 0.710
Y 0.710 0.500 0.580
Y 0.290 0.500 0.420
Cd 0.569 0.500 0.862
Cd 0.431 0.500 0.138
CELL_PARAMETERS angstrom
5.092 0.000 0.676
0.000 3.511 0.000
1.020 0.000 11.839
! M_tot   0.41 μB/f.u.
! SG   No. 65
! Relative energy among the computed polymorphs   115 meV per atom
! ΔE_f   -0.050 eV per atom



2.
! PBE V5N, relaxed; values from VASP
&SYSTEM
  ibrav = 0, nat = 6, ntyp = 2
/
ATOMIC_SPECIES
N 14.01 N.upf
V 50.94 V.upf
ATOMIC_POSITIONS crystal
N 0.000 0.000 0.000
V 0.500 0.890 0.780
V 0.000 0.702 0.404
V 0.500 0.500 0.000
V 0.000 0.298 0.596
V 0.500 0.110 0.220
CELL_PARAMETERS angstrom
-0.933 -1.306 -2.021
0.523 -3.614 2.094
-6.543 2.367 1.490
! M_tot   0.00 μB/f.u.
! SG   No. 65
! ΔE_f (raw)   -0.08 eV/atom



3.
! PBE Cd2HgPb, relaxed; values from VASP
&SYSTEM
  ibrav = 0, nat = 4, ntyp = 3
/
ATOMIC_SPECIES
Pb 207.20 Pb.upf
Hg 200.59 Hg.upf
Cd 112.41 Cd.upf
ATOMIC_POSITIONS crystal
Pb 0.250 0.750 0.500
Hg 0.750 0.250 0.500
Cd 0.988 0.988 0.000
Cd 0.512 0.512 0.000
CELL_PARAMETERS angstrom
-3.435 1.932 4.699
-0.694 -4.101 4.508
4.047 3.331 -3.186
! M_tot   0.00 μB/f.u.
! SG   No. 71
! Relative energy among the computed polymorphs   15 meV per atom
! ΔE_f   0.055 eV per atom



4.
! PBE Cr2GaP, relaxed; values from VASP
&SYSTEM
  ibrav = 0, nat = 8, ntyp = 3
/
ATOMIC_SPECIES
Cr 52.00 Cr.upf
Ga 69.72 Ga.upf
P 30.97 P.upf
ATOMIC_POSITIONS crystal
Cr 0.585 0.125 0.250
Cr 0.165 0.625 0.250
Cr 0.375 0.415 0.750
Cr 0.875 0.835 0.750
Ga 0.000 0.000 0.000
Ga 0.750 0.250 0.500
P 0.500 0.500 0.000
P 0.250 0.750 0.500
CELL_PARAMETERS angstrom
6.573 0.000 0.000
0.000 6.573 0.000
3.286 3.286 2.694
! M_tot   4.00 μB/f.u.
! SG   No. 122
! Relative energy among the computed polymorphs   119 meV per atom
! ΔE_f   0.207 eV per atom



5.
! PBE Ba2CaGe3Au4, relaxed; values from VASP
&SYSTEM
  ibrav = 0, nat = 10, ntyp = 4
/
ATOMIC_SPECIES
Ba 137.33 Ba.upf
Ca 40.08 Ca.upf
Ge 72.64 Ge.upf
Au 196.97 Au.upf
ATOMIC_POSITIONS crystal
Ba 0.500 0.000 0.229
Ba 0.000 0.500 0.771
Ca 0.500 0.500 0.500
Ge 0.000 0.000 0.500
Ge 0.500 0.000 0.882
Ge 0.000 0.500 0.118
Au 0.500 0.500 0.000
Au 0.000 0.000 0.000
Au 0.500 0.000 0.652
Au 0.000 0.500 0.348
CELL_PARAMETERS angstrom
-4.216 -2.061 -0.303
0.658 -1.966 4.222
-4.777 9.044 4.955
! M_tot   0.00 μB/f.u.
! SG   No. 115
! ΔE_f   -0.562 eV per atom



6.
! PBE Y4ReRh, relaxed; values from VASP
&SYSTEM
  ibrav = 0, nat = 6, ntyp = 3
/
ATOMIC_SPECIES
Y 88.91 Y.upf
Re 186.21 Re.upf
Rh 102.91 Rh.upf
ATOMIC_POSITIONS crystal
Y 0.874 0.375 0.375
Y 0.375 0.375 0.874
Y 0.375 0.874 0.375
Y 0.375 0.375 0.375
Re 0.750 0.750 0.750
Rh 0.000 0.000 0.000
CELL_PARAMETERS angstrom
0.000 4.148 4.148
4.148 0.000 4.148
4.148 4.148 0.000
! M_tot   0.01 μB/f.u.
! SG   No. 216
! ΔE_f   0.984 eV per atom



7.
! PBE AlTc2, relaxed; values from VASP
&SYSTEM
  ibrav = 0, nat = 6, ntyp = 2
/
ATOMIC_SPECIES
Al 26.98 Al.upf
Tc 98.00 Tc.upf
ATOMIC_POSITIONS crystal
Al 0.250 0.250 0.000
Al 0.750 0.750 0.000
Tc 0.644 0.856 0.500
Tc 0.356 0.144 0.500
Tc 0.856 0.356 0.212
Tc 0.144 0.644 0.788
CELL_PARAMETERS angstrom
-0.381 -4.018 -2.750
-0.115 -0.336 4.871
-3.962 2.623 -1.129
! M_tot   0.00 μB/f.u.
! SG   No. 140
! Relative energy among the computed polymorphs   314 meV per atom
! ΔE_f   -0.100 eV per atom



8.
! PBE CsLaTeS, relaxed; values from VASP
&SYSTEM
  ibrav = 0, nat = 4, ntyp = 4
/
ATOMIC_SPECIES
Cs 132.91 Cs.upf
La 138.91 La.upf
Te 127.60 Te.upf
S 32.06 S.upf
ATOMIC_POSITIONS crystal
Cs 0.974 0.385 0.374
La 0.287 0.541 0.844
Te 0.102 0.949 0.066
S 0.515 0.155 0.686
CELL_PARAMETERS angstrom
-2.311 -0.216 -3.870
0.743 -3.751 2.396
-6.115 2.709 6.133
! M_tot   0.00 μB/f.u.
! SG   No. 160
! ΔE_f (raw)   -1.65 eV/atom



9.
! PBE GdZrCdHg, relaxed; values from VASP
&SYSTEM
  ibrav = 0, nat = 4, ntyp = 4
/
ATOMIC_SPECIES
Gd 157.25 Gd.upf
Hg 200.59 Hg.upf
Zr 91.22 Zr.upf
Cd 112.41 Cd.upf
ATOMIC_POSITIONS crystal
Gd 0.750 0.750 0.750
Hg 0.500 0.500 0.500
Zr 0.250 0.250 0.250
Cd 0.000 0.000 0.000
CELL_PARAMETERS angstrom
5.161 0.000 0.000
2.580 4.469 0.000
2.580 1.490 4.214
! M_tot   8.23 μB/f.u.
! SG   No. 216
! ΔE_f   -0.189 eV per atom



10.
! PBE ScVBiC2, relaxed; values from VASP
&SYSTEM
  ibrav = 0, nat = 5, ntyp = 4
/
ATOMIC_SPECIES
Sc 44.96 Sc.upf
C 12.01 C.upf
Bi 208.98 Bi.upf
V 50.94 V.upf
ATOMIC_POSITIONS crystal
Sc 0.000 0.000 0.000
C 0.000 0.000 0.500
C 0.500 0.000 0.000
Bi 0.000 0.500 0.000
V 0.500 0.500 0.500
CELL_PARAMETERS angstrom
4.174 0.000 0.000
0.000 5.666 0.000
0.000 0.000 4.174
! M_tot   0.02 μB/f.u.
! SG   No. 123
! Relative energy among the computed polymorphs   813 meV per atom
! ΔE_f   2.038 eV per atom



11.
! PBE MnRu3W, relaxed; values from VASP
&SYSTEM
  ibrav = 0, nat = 5, ntyp = 3
/
ATOMIC_SPECIES
Ru 101.07 Ru.upf
Mn 54.94 Mn.upf
W 183.84 W.upf
ATOMIC_POSITIONS crystal
Ru 0.000 0.500 0.000
Ru 0.000 0.000 0.500
Ru 0.500 0.000 0.000
Mn 0.000 0.000 0.000
W 0.500 0.500 0.500
CELL_PARAMETERS angstrom
4.336 0.000 0.000
0.000 4.336 0.000
0.000 0.000 4.336
! M_tot   0.00 μB/f.u.
! SG   No. 221
! Relative energy among the computed polymorphs   0 meV per atom
! ΔE_f   1.467 eV per atom



12.
! PBE SrPtBr2, relaxed; values from VASP
&SYSTEM
  ibrav = 0, nat = 4, ntyp = 3
/
ATOMIC_SPECIES
Sr 87.62 Sr.upf
Br 79.90 Br.upf
Pt 195.08 Pt.upf
ATOMIC_POSITIONS crystal
Sr 0.000 0.500 0.500
Br 0.000 0.000 0.000
Br 0.500 0.500 0.000
Pt 0.500 0.000 0.500
CELL_PARAMETERS angstrom
4.912 0.000 0.000
0.000 4.912 0.000
0.000 0.000 4.034
! M_tot   0.00 μB/f.u.
! SG   No. 123
! Relative energy among the computed polymorphs   469 meV per atom
! ΔE_f (raw)   -0.67 eV/atom



13.
! PBE BaReAs4, relaxed; values from VASP
&SYSTEM
  ibrav = 0, nat = 6, ntyp = 3
/
ATOMIC_SPECIES
Ba 137.33 Ba.upf
Re 186.21 Re.upf
As 74.92 As.upf
ATOMIC_POSITIONS crystal
Ba 0.750 0.750 0.750
Re 0.000 0.000 0.000
As 0.896 0.368 0.368
As 0.368 0.368 0.896
As 0.368 0.896 0.368
As 0.368 0.368 0.368
CELL_PARAMETERS angstrom
-4.019 -3.228 2.654
-4.605 -1.907 -2.961
-0.497 -5.634 -1.273
! M_tot   3.67 μB/f.u.
! SG   No. 216
! ΔE_f   0.643 eV per atom



14.
! PBE Ba2SiIrBr, relaxed; values from VASP
&SYSTEM
  ibrav = 0, nat = 5, ntyp = 4
/
ATOMIC_SPECIES
Si 28.09 Si.upf
Ir 192.22 Ir.upf
Ba 137.33 Ba.upf
Br 79.90 Br.upf
ATOMIC_POSITIONS crystal
Si 0.000 0.000 0.500
Ir 0.000 0.000 0.000
Ba 0.000 0.500 0.000
Ba 0.500 0.000 0.000
Br 0.500 0.500 0.500
CELL_PARAMETERS angstrom
6.190 0.000 0.000
0.000 6.190 0.000
0.000 0.000 4.565
! M_tot   0.00 μB/f.u.
! SG   No. 123
! ΔE_f (raw)   -0.88 eV/atom



15.
! PBE Sr3CaBi2As, relaxed; values from VASP
&SYSTEM
  ibrav = 0, nat = 7, ntyp = 4
/
ATOMIC_SPECIES
Sr 87.62 Sr.upf
Ca 40.08 Ca.upf
Bi 208.98 Bi.upf
As 74.92 As.upf
ATOMIC_POSITIONS crystal
Sr 0.000 0.500 0.000
Sr 0.175 0.175 0.350
Sr 0.825 0.825 0.650
Ca 0.500 0.000 0.000
Bi 0.632 0.632 0.264
Bi 0.368 0.368 0.736
As 0.000 0.000 0.000
CELL_PARAMETERS angstrom
5.475 0.000 0.000
0.000 5.701 0.000
-2.738 -2.851 8.765
! M_tot   0.00 μB/f.u.
! SG   No. 71
! ΔE_f   -0.853 eV per atom



16.
! PBE AcLuThZr, relaxed; values from VASP
&SYSTEM
  ibrav = 0, nat = 4, ntyp = 4
/
ATOMIC_SPECIES
Ac 227.00 Ac.upf
Lu 174.97 Lu.upf
Th 232.04 Th.upf
Zr 91.22 Zr.upf
ATOMIC_POSITIONS crystal
Ac 0.000 0.000 0.000
Lu 0.750 0.750 0.750
Th 0.500 0.500 0.500
Zr 0.250 0.250 0.250
CELL_PARAMETERS angstrom
5.601 0.000 0.000
2.801 4.851 0.000
2.801 1.617 4.573
! M_tot   0.00 μB/f.u.
! SG   No. 216
! ΔE_f   0.192 eV per atom



17.
! PBE Cs2LiGaSb2, relaxed; values from VASP
&SYSTEM
  ibrav = 0, nat = 12, ntyp = 4
/
ATOMIC_SPECIES
Cs 132.91 Cs.upf
Li 6.94 Li.upf
Ga 69.72 Ga.upf
Sb 121.76 Sb.upf
ATOMIC_POSITIONS crystal
Cs 0.404 0.167 0.335
Cs 0.596 0.833 0.665
Cs 0.069 0.333 0.665
Cs 0.931 0.667 0.335
Li 0.000 0.750 0.000
Li 0.000 0.250 0.000
Ga 0.500 0.750 0.000
Ga 0.500 0.250 0.000
Sb 0.808 0.084 0.167
Sb 0.359 0.584 0.167
Sb 0.641 0.416 0.833
Sb 0.192 0.916 0.833
CELL_PARAMETERS angstrom
-3.539 1.509 5.918
5.675 -1.707 3.830
1.719 8.368 -5.315
! M_tot   0.00 μB/f.u.
! SG   No. 72
! ΔE_f (raw)   -0.49 eV/atom



18.
! PBE Pu8As5Se, relaxed; values from VASP
&SYSTEM
  ibrav = 0, nat = 14, ntyp = 3
/
ATOMIC_SPECIES
Pu 244.00 Pu.upf
As 74.92 As.upf
Se 78.96 Se.upf
ATOMIC_POSITIONS crystal
Pu 0.123 0.750 0.024
Pu 0.976 0.100 0.726
Pu 0.767 0.249 0.372
Pu 0.628 0.395 0.878
Pu 0.482 0.605 0.233
Pu 0.626 0.900 0.877
Pu 0.274 0.250 0.374
Pu 0.122 0.751 0.518
As 0.002 0.374 0.125
As 0.875 0.877 0.249
As 0.751 0.626 0.627
As 0.500 0.000 0.500
As 0.373 0.123 0.998
Se 0.250 0.500 0.750
CELL_PARAMETERS angstrom
-3.608 -5.352 -4.026
4.105 4.368 -4.684
4.603 -3.325 5.063
! M_tot   47.01 μB/f.u.
! SG   No. 82
! ΔE_f (raw)   -1.00 eV/atom



19.
! PBE Pr2P3PdRh4, relaxed; values from VASP
&SYSTEM
  ibrav = 0, nat = 10, ntyp = 4
/
ATOMIC_SPECIES
Pr 140.91 Pr.upf
P 30.97 P.upf
Pd 106.42 Pd.upf
Rh 102.91 Rh.upf
ATOMIC_POSITIONS crystal
Pr 0.500 0.000 0.259
Pr 0.000 0.500 0.741
P 0.000 0.000 0.500
P 0.500 0.000 0.871
P 0.000 0.500 0.129
Pd 0.500 0.500 0.500
Rh 0.500 0.500 0.000
Rh 0.000 0.000 0.000
Rh 0.500 0.000 0.650
Rh 0.000 0.500 0.350
CELL_PARAMETERS angstrom
4.129 0.000 0.000
0.000 4.129 0.000
0.000 0.000 10.190
! M_tot   0.00 μB/f.u.
! SG   No. 115
! ΔE_f   -0.927 eV per atom



20.
! PBE HoCdAg2, relaxed; values from VASP
&SYSTEM
  ibrav = 0, nat = 4, ntyp = 3
/
ATOMIC_SPECIES
Ho 164.93 Ho.upf
Ag 107.87 Ag.upf
Cd 112.41 Cd.upf
ATOMIC_POSITIONS crystal
Ho 0.000 0.000 0.000
Ag 0.750 0.750 0.750
Ag 0.250 0.250 0.250
Cd 0.500 0.500 0.500
CELL_PARAMETERS angstrom
4.931 0.000 0.000
2.466 4.271 0.000
2.466 1.424 4.026
! M_tot   0.00 μB/f.u.
! SG   No. 225
! Relative energy among the computed polymorphs   10 meV per atom
! ΔE_f   -0.267 eV per atom